1.
Computed, not measured: a relaxed ZnAsBr2F crystal at the PBE level of DFT.

```
ZnAsBr2F
1.0
4.983 0.000 0.000
0.000 4.983 0.000
0.000 0.000 5.061
Zn As Br F
1 1 2 1
Direct
0.000 0.000 0.000
0.000 0.000 0.500
0.000 0.500 0.000
0.500 0.000 0.000
0.500 0.500 0.500
```

Properties
density of states at the Fermi level = 4.397 states/eV/f.u.
raw total energy = -10.56 eV per cell
ΔE to the lowest computed polymorph = 0.120 eV/atom
total moment = 0.43 μB per formula unit
energy relative to the elements, uncorrected = 0.1170 eV per atom

2.
Computed, not measured: a relaxed Fe2AsBr8 crystal at the PBE level of DFT.

```
Fe2AsBr8
1.0
6.655 -4.761 0.000
6.655 4.761 0.000
-0.339 0.000 6.533
Fe As Br
2 1 8
Direct
0.184 0.184 0.114
0.816 0.816 0.886
0.000 0.000 0.500
0.101 0.722 0.733
0.172 0.172 0.747
0.278 0.899 0.267
0.351 0.351 0.220
0.649 0.649 0.780
0.722 0.101 0.733
0.828 0.828 0.253
0.899 0.278 0.267
```

Properties
density of states at the Fermi level = 4.826 states/eV/f.u.
raw total energy = -39.57 eV per cell
total moment = 9.00 μB per formula unit
energy relative to the elements, uncorrected = -0.4193 eV per atom